Record 1
CeY4Ru5 PBE optimized geometry; space-group type = P4/mmm; calculated formation energy = -0.329 eV/atom; density = 8.31 g/cm³
1.0
3.423 0.000 0.000
0.000 3.423 0.000
0.000 0.000 17.084
Ce Y Ru
1 4 5
Direct
0.000 0.000 0.000 Ce
0.000 0.000 0.203 Y
0.000 0.000 0.401 Y
0.000 0.000 0.599 Y
0.000 0.000 0.797 Y
0.500 0.500 0.091 Ru
0.500 0.500 0.299 Ru
0.500 0.500 0.500 Ru
0.500 0.500 0.701 Ru
0.500 0.500 0.909 Ru



Record 2
CoRh2 PBE optimized geometry; space-group type = Fd-3m; calculated formation energy = 0.569 eV/atom; density = 9.73 g/cm³
1.0
0.000 3.562 3.562
3.562 0.000 3.562
3.562 3.562 0.000
Co Rh
2 4
Direct
0.125 0.125 0.125 Co
0.875 0.875 0.875 Co
0.000 0.500 0.500 Rh
0.500 0.000 0.500 Rh
0.500 0.500 0.000 Rh
0.500 0.500 0.500 Rh



Record 3
Ba4LaTiNb3O15 PBE optimized geometry; space-group type = P3m1; E_form (uncorrected) = -2.9308 eV/atom; offset from the most stable computed form = 0 meV/atom; density = 6.03 g/cm³
1.0
5.807 0.000 0.000
-2.904 5.029 0.000
0.000 0.000 11.840
Ba La Ti Nb O
4 1 1 3 15
Direct
0.000 0.000 0.000 Ba
0.000 0.000 0.370 Ba
0.333 0.667 0.150 Ba
0.667 0.333 0.578 Ba
0.333 0.667 0.792 La
0.000 0.000 0.681 Ti
0.333 0.667 0.478 Nb
0.667 0.333 0.260 Nb
0.667 0.333 0.883 Nb
0.004 0.502 0.385 O
0.009 0.504 0.953 O
0.169 0.337 0.584 O
0.169 0.831 0.584 O
0.328 0.164 0.769 O
0.337 0.168 0.186 O
0.496 0.504 0.953 O
0.496 0.991 0.953 O
0.498 0.502 0.385 O
0.498 0.996 0.385 O
0.663 0.831 0.584 O
0.832 0.168 0.186 O
0.832 0.663 0.186 O
0.836 0.164 0.769 O
0.836 0.672 0.769 O



Record 4
Li2PmZn2In2 PBE optimized geometry; space-group type = C2/m; calculated formation energy = -0.273 eV/atom; density = 5.91 g/cm³
1.0
7.817 0.000 0.000
0.000 4.569 0.000
-2.790 0.000 8.165
Li Pm Zn In
4 2 4 4
Direct
0.144 0.000 0.422 Li
0.356 0.500 0.578 Li
0.644 0.500 0.422 Li
0.856 0.000 0.578 Li
0.000 0.000 0.000 Pm
0.500 0.500 0.000 Pm
0.055 0.500 0.670 Zn
0.445 0.000 0.330 Zn
0.555 0.000 0.670 Zn
0.945 0.500 0.330 Zn
0.245 0.500 0.231 In
0.255 0.000 0.769 In
0.745 0.000 0.231 In
0.755 0.500 0.769 In



Record 5
LaTiRe2 PBE optimized geometry; space-group type = Fm-3m; calculated formation energy = 0.362 eV/atom; offset from the most stable computed form = 0 meV/atom; density = 12.73 g/cm³
1.0
6.632 0.000 0.000
0.000 6.632 0.000
0.000 0.000 6.632
La Ti Re
4 4 8
Direct
0.000 0.000 0.000 La
0.000 0.500 0.500 La
0.500 0.000 0.500 La
0.500 0.500 0.000 La
0.000 0.000 0.500 Ti
0.000 0.500 0.000 Ti
0.500 0.000 0.000 Ti
0.500 0.500 0.500 Ti
0.250 0.250 0.250 Re
0.250 0.250 0.750 Re
0.250 0.750 0.250 Re
0.250 0.750 0.750 Re
0.750 0.250 0.250 Re
0.750 0.250 0.750 Re
0.750 0.750 0.250 Re
0.750 0.750 0.750 Re



Record 6
EuScTlAg PBE optimized geometry; space-group type = F-43m; calculated formation energy = -0.238 eV/atom; density = 8.29 g/cm³
1.0
7.415 0.000 0.000
0.000 7.415 0.000
0.000 0.000 7.415
Eu Sc Tl Ag
4 4 4 4
Direct
0.000 0.000 0.000 Eu
0.000 0.500 0.500 Eu
0.500 0.000 0.500 Eu
0.500 0.500 0.000 Eu
0.000 0.000 0.500 Sc
0.000 0.500 0.000 Sc
0.500 0.000 0.000 Sc
0.500 0.500 0.500 Sc
0.250 0.250 0.250 Tl
0.250 0.750 0.750 Tl
0.750 0.250 0.750 Tl
0.750 0.750 0.250 Tl
0.250 0.250 0.750 Ag
0.250 0.750 0.250 Ag
0.750 0.250 0.250 Ag
0.750 0.750 0.750 Ag



Calculated energy (eV per atom), listed in the same order as above: -8.146 -6.700 -8.143 -2.645 -9.068 -5.694